(1)
First-principles (GGA-PBE) data for a geometry-optimized LiCePr2 structure, as listed in Alexandria.

- ΔE to the lowest computed polymorph: 0 meV per atom
- Final energy: -4.272 eV per atom
- Formation energy: 0.08 eV/atom
- Space group: No. 123

a b c (Å): 3.599 3.599 9.224
angles (deg): 90.00 90.00 90.00
Positions (direct):
1 Li 0.000 0.000 0.000
2 Ce 0.000 0.000 0.500
3 Pr 0.500 0.500 0.242
4 Pr 0.500 0.500 0.758



(2)
First-principles (GGA-PBE) data for a geometry-optimized LiCePr2 structure, as listed in Alexandria.

- ΔE to the lowest computed polymorph: 48 meV per atom
- Final energy: -4.225 eV per atom
- Formation energy: 0.13 eV/atom
- Space group: No. 160

a b c (Å): 11.772 11.772 11.772
angles (deg): 17.26 17.26 17.26
Positions (direct):
1 Li 0.000 0.000 0.000
2 Ce 0.833 0.833 0.833
3 Pr 0.415 0.415 0.415
4 Pr 0.585 0.585 0.585



(3)
First-principles (GGA-PBE) data for a geometry-optimized LiCePr2 structure, as listed in Alexandria.

- ΔE to the lowest computed polymorph: 69 meV per atom
- Final energy: -4.203 eV per atom
- Formation energy: 0.15 eV/atom
- Space group: No. 123

a b c (Å): 5.803 5.803 3.559
angles (deg): 90.00 90.00 90.00
Positions (direct):
1 Li 0.000 0.000 0.000
2 Ce 0.500 0.500 0.000
3 Pr 0.000 0.500 0.500
4 Pr 0.500 0.000 0.500



(4)
First-principles (GGA-PBE) data for a geometry-optimized LiCePr2 structure, as listed in Alexandria.

- ΔE to the lowest computed polymorph: 111 meV per atom
- Final energy: -4.161 eV per atom
- Formation energy: 0.19 eV/atom
- Space group: No. 166

a b c (Å): 12.454 12.454 12.454
angles (deg): 16.21 16.21 16.21
Positions (direct):
1 Li 0.000 0.000 0.000
2 Ce 0.500 0.500 0.500
3 Pr 0.089 0.089 0.089
4 Pr 0.911 0.911 0.911



(5)
First-principles (GGA-PBE) data for a geometry-optimized LiCePr2 structure, as listed in Alexandria.

- ΔE to the lowest computed polymorph: 188 meV per atom
- Final energy: -4.084 eV per atom
- Formation energy: 0.27 eV/atom
- Space group: No. 225

a b c (Å): 5.543 5.543 5.543
angles (deg): 60.00 60.00 60.00
Positions (direct):
1 Li 0.000 0.000 0.000
2 Ce 0.500 0.500 0.500
3 Pr 0.250 0.250 0.250
4 Pr 0.750 0.750 0.750



(6)
First-principles (GGA-PBE) data for a geometry-optimized LiCePr structure, as listed in Alexandria.

- ΔE to the lowest computed polymorph: 7 meV per atom
- Final energy: -4.034 eV per atom
- Formation energy: 0.18 eV/atom
- Space group: No. 107

a b c (Å): 7.355 7.355 7.355
angles (deg): 152.18 152.18 39.75
Positions (direct):
1 Li 0.000 0.000 0.000
2 Ce 0.341 0.341 0.000
3 Pr 0.661 0.661 0.000



(7)
First-principles (GGA-PBE) data for a geometry-optimized LiCePr structure, as listed in Alexandria.

- ΔE to the lowest computed polymorph: 0 meV per atom
- Final energy: -4.041 eV per atom
- Formation energy: 0.17 eV/atom
- Space group: No. 156

a b c (Å): 3.464 3.464 8.534
angles (deg): 90.00 90.00 120.00
Positions (direct):
1 Li 0.000 0.000 0.000
2 Ce 0.667 0.333 0.324
3 Pr 0.333 0.667 0.669



(8)
First-principles (GGA-PBE) data for a geometry-optimized LiCePrPt structure, as listed in Alexandria.

- Final energy: -5.096 eV per atom
- Formation energy: -0.43 eV/atom
- Space group: No. 216

a b c (Å): 5.140 5.140 5.140
angles (deg): 60.00 60.00 60.00
Positions (direct):
1 Li 0.000 0.000 0.000
2 Ce 0.750 0.750 0.750
3 Pr 0.250 0.250 0.250
4 Pt 0.500 0.500 0.500



(9)
First-principles (GGA-PBE) data for a geometry-optimized LiCePrRe structure, as listed in Alexandria.

- Final energy: -6.088 eV per atom
- Formation energy: 0.18 eV/atom
- Space group: No. 216

a b c (Å): 5.040 5.040 5.040
angles (deg): 60.00 60.00 60.00
Positions (direct):
1 Li 0.000 0.000 0.000
2 Ce 0.750 0.750 0.750
3 Pr 0.250 0.250 0.250
4 Re 0.500 0.500 0.500



(10)
First-principles (GGA-PBE) data for a geometry-optimized LiCe2PrS4 structure, as listed in Alexandria.

- Final energy: -6.260 eV per atom
- Raw formation energy: -1448 kJ/mol of formula units
- Space group: No. 10

a b c (Å): 6.967 4.031 6.975
angles (deg): 90.00 109.57 90.00
Positions (direct):
1 Li 0.000 0.000 0.000
2 Ce 0.500 0.000 0.500
3 Ce 0.500 0.500 0.000
4 Pr 0.000 0.500 0.500
5 S 0.246 0.500 0.242
6 S 0.249 0.000 0.759
7 S 0.751 0.000 0.241
8 S 0.754 0.500 0.758



(11)
First-principles (GGA-PBE) data for a geometry-optimized LiCe2PrS5 structure, as listed in Alexandria.

- Final energy: -6.194 eV per atom
- Raw formation energy: -1596 kJ/mol of formula units
- Space group: No. 36

a b c (Å): 8.591 8.591 12.046
angles (deg): 90.00 90.00 152.94
Positions (direct):
1 Li 0.011 0.989 0.500
2 Li 0.989 0.011 0.000
3 Ce 0.379 0.621 0.314
4 Ce 0.390 0.610 0.700
5 Ce 0.610 0.390 0.200
6 Ce 0.621 0.379 0.814
7 Pr 0.304 0.696 0.016
8 Pr 0.696 0.304 0.516
9 S 0.001 0.999 0.302
10 S 0.135 0.865 0.017
11 S 0.190 0.810 0.352
12 S 0.208 0.792 0.684
13 S 0.459 0.541 0.091
14 S 0.541 0.459 0.591
15 S 0.792 0.208 0.184
16 S 0.810 0.190 0.852
17 S 0.865 0.135 0.517
18 S 0.999 0.001 0.802



(12)
First-principles (GGA-PBE) data for a geometry-optimized Li3Ce2PrS6 structure, as listed in Alexandria.

- Final energy: -5.663 eV per atom
- Raw formation energy: -2008 kJ/mol of formula units
- Space group: No. 12

a b c (Å): 7.045 7.045 6.617
angles (deg): 100.21 100.21 120.01
Positions (direct):
1 Li 0.000 0.000 0.000
2 Li 0.332 0.668 0.000
3 Li 0.668 0.332 0.000
4 Ce 0.166 0.834 0.500
5 Ce 0.834 0.166 0.500
6 Pr 0.500 0.500 0.500
7 S 0.077 0.415 0.243
8 S 0.249 0.249 0.758
9 S 0.415 0.077 0.243
10 S 0.585 0.923 0.757
11 S 0.751 0.751 0.242
12 S 0.923 0.585 0.757



(13)
First-principles (GGA-PBE) data for a geometry-optimized Li2CePrS4 structure, as listed in Alexandria.

- Final energy: -5.621 eV per atom
- Raw formation energy: -1343 kJ/mol of formula units
- Space group: No. 10

a b c (Å): 6.623 4.080 7.055
angles (deg): 90.00 110.70 90.00
Positions (direct):
1 Li 0.000 0.000 0.000
2 Li 0.000 0.500 0.500
3 Ce 0.500 0.000 0.500
4 Pr 0.500 0.500 0.000
5 S 0.242 0.000 0.745
6 S 0.243 0.500 0.251
7 S 0.757 0.500 0.749
8 S 0.758 0.000 0.255



(14)
First-principles (GGA-PBE) data for a geometry-optimized LiCePr2S5 structure, as listed in Alexandria.

- Final energy: -6.102 eV per atom
- Raw formation energy: -1628 kJ/mol of formula units
- Space group: No. 36

a b c (Å): 8.589 8.589 12.072
angles (deg): 90.00 90.00 152.81
Positions (direct):
1 Li 0.013 0.987 0.500
2 Li 0.987 0.013 0.000
3 Ce 0.303 0.697 0.020
4 Ce 0.697 0.303 0.520
5 Pr 0.377 0.623 0.318
6 Pr 0.390 0.610 0.704
7 Pr 0.610 0.390 0.204
8 Pr 0.623 0.377 0.818
9 S 0.001 0.999 0.303
10 S 0.136 0.864 0.018
11 S 0.192 0.808 0.360
12 S 0.210 0.790 0.682
13 S 0.455 0.545 0.089
14 S 0.545 0.455 0.589
15 S 0.790 0.210 0.182
16 S 0.808 0.192 0.860
17 S 0.864 0.136 0.518
18 S 0.999 0.001 0.803



(15)
First-principles (GGA-PBE) data for a geometry-optimized LiCe4Pr3S8 structure, as listed in Alexandria.

- Final energy: -6.518 eV per atom
- Raw formation energy: -3018 kJ/mol of formula units
- Space group: No. 166

a b c (Å): 8.102 8.102 8.102
angles (deg): 59.90 59.90 59.90
Positions (direct):
1 Li 0.000 0.000 0.000
2 Ce 0.000 0.000 0.500
3 Ce 0.000 0.500 0.000
4 Ce 0.500 0.000 0.000
5 Ce 0.500 0.500 0.500
6 Pr 0.000 0.500 0.500
7 Pr 0.500 0.000 0.500
8 Pr 0.500 0.500 0.000
9 S 0.241 0.755 0.755
10 S 0.245 0.245 0.759
11 S 0.245 0.759 0.245
12 S 0.248 0.248 0.248
13 S 0.752 0.752 0.752
14 S 0.755 0.241 0.755
15 S 0.755 0.755 0.241
16 S 0.759 0.245 0.245



(16)
First-principles (GGA-PBE) data for a geometry-optimized Li2Ce2PrSb2 structure, as listed in Alexandria.

- Final energy: -4.700 eV per atom
- Raw formation energy: -403 kJ/mol of formula units
- Space group: No. 166

a b c (Å): 9.855 9.855 9.855
angles (deg): 26.83 26.83 26.83
Positions (direct):
1 Li 0.086 0.086 0.086
2 Li 0.914 0.914 0.914
3 Ce 0.355 0.355 0.355
4 Ce 0.645 0.645 0.645
5 Pr 0.500 0.500 0.500
6 Sb 0.236 0.236 0.236
7 Sb 0.764 0.764 0.764



(17)
First-principles (GGA-PBE) data for a geometry-optimized LiCe3Pr3Se8 structure, as listed in Alexandria.

- Final energy: -5.908 eV per atom
- Raw formation energy: -2575 kJ/mol of formula units
- Space group: No. 166

a b c (Å): 8.429 8.429 8.429
angles (deg): 59.66 59.66 59.66
Positions (direct):
1 Li 0.000 0.000 0.000
2 Ce 0.000 0.500 0.500
3 Ce 0.500 0.000 0.500
4 Ce 0.500 0.500 0.000
5 Pr 0.000 0.000 0.500
6 Pr 0.000 0.500 0.000
7 Pr 0.500 0.000 0.000
8 Se 0.244 0.244 0.752
9 Se 0.244 0.752 0.244
10 Se 0.248 0.756 0.756
11 Se 0.251 0.251 0.251
12 Se 0.749 0.749 0.749
13 Se 0.752 0.244 0.244
14 Se 0.756 0.248 0.756
15 Se 0.756 0.756 0.248



(18)
First-principles (GGA-PBE) data for a geometry-optimized LiCe2PrSe4 structure, as listed in Alexandria.

- Final energy: -5.783 eV per atom
- Raw formation energy: -1328 kJ/mol of formula units
- Space group: No. 10

a b c (Å): 7.261 4.196 7.269
angles (deg): 90.00 109.53 90.00
Positions (direct):
1 Li 0.000 0.000 0.000
2 Ce 0.000 0.500 0.500
3 Ce 0.500 0.000 0.500
4 Pr 0.500 0.500 0.000
5 Se 0.240 0.500 0.242
6 Se 0.241 0.000 0.753
7 Se 0.759 0.000 0.247
8 Se 0.760 0.500 0.758



(19)
First-principles (GGA-PBE) data for a geometry-optimized LiCe3Pr4Se8 structure, as listed in Alexandria.

- Final energy: -5.963 eV per atom
- Raw formation energy: -2769 kJ/mol of formula units
- Space group: No. 166

a b c (Å): 8.445 8.445 8.445
angles (deg): 59.88 59.88 59.88
Positions (direct):
1 Li 0.000 0.000 0.000
2 Ce 0.000 0.500 0.500
3 Ce 0.500 0.000 0.500
4 Ce 0.500 0.500 0.000
5 Pr 0.000 0.000 0.500
6 Pr 0.000 0.500 0.000
7 Pr 0.500 0.000 0.000
8 Pr 0.500 0.500 0.500
9 Se 0.243 0.243 0.754
10 Se 0.243 0.754 0.243
11 Se 0.246 0.757 0.757
12 Se 0.252 0.252 0.252
13 Se 0.748 0.748 0.748
14 Se 0.754 0.243 0.243
15 Se 0.757 0.246 0.757
16 Se 0.757 0.757 0.246



(20)
First-principles (GGA-PBE) data for a geometry-optimized LiCe4Pr3Se8 structure, as listed in Alexandria.

- Final energy: -6.021 eV per atom
- Raw formation energy: -2747 kJ/mol of formula units
- Space group: No. 166

a b c (Å): 8.453 8.453 8.453
angles (deg): 59.73 59.73 59.73
Positions (direct):
1 Li 0.000 0.000 0.000
2 Ce 0.000 0.000 0.500
3 Ce 0.000 0.500 0.000
4 Ce 0.500 0.000 0.000
5 Ce 0.500 0.500 0.500
6 Pr 0.000 0.500 0.500
7 Pr 0.500 0.000 0.500
8 Pr 0.500 0.500 0.000
9 Se 0.241 0.756 0.756
10 Se 0.244 0.244 0.759
11 Se 0.244 0.759 0.244
12 Se 0.248 0.248 0.248
13 Se 0.752 0.752 0.752
14 Se 0.756 0.241 0.756
15 Se 0.756 0.756 0.241
16 Se 0.759 0.244 0.244